VASP calculation (PBE) on a relaxed LaNdDy2 crystal.

Cell lengths 5.5709, 6.1569, 10.1124 Å; angles 119.13, 90.00, 90.00 degrees
Closest atoms and distances in Å follow each position.
Positions (direct):
La  0.0000  0.0000  0.0000  6 Dy 3.58-3.64, 4 Nd 3.90
La  0.5000  0.0000  0.5000  6 Dy 3.28-3.33, 2 Nd 3.30
Nd  0.5000  0.6102  0.7108  4 Dy 3.25-3.54, 1 La 3.30
Nd  0.5000  0.3898  0.2892  4 Dy 3.25-3.54, 1 La 3.30
Dy  0.0000  0.1562  0.3967  3 La 3.28-3.64, 1 Dy 3.46, 2 Nd 3.54
Dy  0.5000  0.2145  0.8720  1 Dy 3.19, 2 Nd 3.25-3.53, 1 La 3.33
Dy  0.5000  0.7855  0.1280  1 Dy 3.19, 2 Nd 3.25-3.53, 1 La 3.33
Dy  0.0000  0.8438  0.6033  3 La 3.28-3.64, 1 Dy 3.46, 2 Nd 3.54

Properties
DFT formation energy ... 443 meV per atom
Total moment ... 0.0 μB per formula unit

=====

VASP calculation (PBE) on a relaxed Sm4GaSe2Br crystal.

Cell lengths 4.1538, 7.2990, 7.4284 Å; angles 71.37, 90.00, 90.00 degrees
Closest atoms and distances in Å follow each position.
Positions (direct):
Sm  0.0000  0.7504  0.7622  3 Se 2.92-3.03, 2 Ga 2.95, 1 Br 3.07
Sm  0.0000  0.2496  0.2378  3 Se 2.92-3.03, 2 Ga 2.95, 1 Br 3.07
Sm  0.5000  0.7625  0.2247  3 Se 2.87-3.07, 1 Ga 2.92, 2 Br 3.11
Sm  0.5000  0.2375  0.7753  3 Se 2.87-3.07, 1 Ga 2.92, 2 Br 3.11
Ga  0.5000  0.5000  0.0000  6 Sm 2.92-2.95
Se  0.0000  0.0000  0.0000  6 Sm 2.87-2.92
Se  0.5000  0.0000  0.5000  6 Sm 3.03-3.07
Br  0.0000  0.5000  0.5000  6 Sm 3.07-3.11

Properties
Formation energy without anion corrections ... -1.361 eV per atom
Total moment ... 0.0 μB per formula unit

=====

VASP calculation (PBE) on a relaxed PmPrNiAu crystal.

Cell lengths 3.9428, 4.6281, 5.7370 Å; angles 90.00, 110.10, 90.00 degrees
Closest atoms and distances in Å follow each position.
Positions (direct):
Pm  0.8625  0.5000  0.7250  3 Au 3.03-3.09, 4 Ni 3.10
Pr  0.1415  0.0000  0.2830  3 Ni 3.00-3.10, 4 Au 3.12
Ni  0.4200  0.0000  0.8401  2 Au 2.86, 3 Pr 3.00-3.10, 4 Pm 3.10
Au  0.5759  0.5000  0.1519  2 Ni 2.86, 3 Pm 3.03-3.09, 4 Pr 3.12

Properties
DFT formation energy ... -531 meV per atom
Total moment ... 0.0 μB per formula unit

=====

VASP calculation (PBE) on a relaxed TaPb2Se crystal.

Cell lengths 5.9664, 5.9664, 3.3729 Å; angles 74.62, 74.62, 113.28 degrees
Closest atoms and distances in Å follow each position.
Positions (direct):
Pb  0.0000  0.0000  0.0000  2 Ta 3.01, 2 Se 3.01, 4 Pb 3.28-3.37
Pb  0.5000  0.5000  0.0000  2 Se 3.01, 2 Ta 3.01, 4 Pb 3.28-3.37
Se  0.5000  0.0000  0.5000  4 Pb 3.01, 2 Ta 3.28, 2 Se 3.37
Ta  0.0000  0.5000  0.5000  4 Pb 3.01, 2 Se 3.28, 2 Ta 3.37

Properties
Formation energy without anion corrections ... 0.529 eV per atom
Total moment ... 0.0 μB per formula unit

=====

VASP calculation (PBE) on a relaxed LaY2PuS4 crystal.

Cell lengths 3.9678, 6.9112, 6.9395 Å; angles 109.16, 90.00, 90.00 degrees
Closest atoms and distances in Å follow each position.
Positions (direct):
La  0.0000  0.0000  0.0000  6 S 2.89
Y  0.5000  0.0000  0.5000  6 S 2.81
Y  0.0000  0.5000  0.5000  6 S 2.75-2.76
Pu  0.5000  0.5000  0.0000  6 S 2.84
S  0.5000  0.2606  0.2638  3 Y 2.75-2.81, 1 Pu 2.84, 2 La 2.89
S  0.5000  0.7394  0.7362  3 Y 2.75-2.81, 1 Pu 2.84, 2 La 2.89
S  0.0000  0.2532  0.7415  3 Y 2.76-2.81, 2 Pu 2.84, 1 La 2.89
S  0.0000  0.7468  0.2585  3 Y 2.76-2.81, 2 Pu 2.84, 1 La 2.89

Properties
Formation energy without anion corrections ... -1.994 eV per atom
Total moment ... 5.8 μB per formula unit

=====

VASP calculation (PBE) on a relaxed KCdCl2 crystal.

Cell lengths 7.6270, 5.5479, 3.8653 Å; angles 76.86, 79.86, 128.76 degrees
Closest atoms and distances in Å follow each position.
Positions (direct):
K  0.0000  0.5000  0.5000  4 Cl 3.00
Cl  0.0000  0.0000  0.0000  2 Cd 3.00, 2 K 3.00
Cl  0.5000  0.0000  0.5000  2 K 3.00, 2 Cd 3.00
Cd  0.5000  0.5000  0.0000  4 Cl 3.00

Properties
Formation energy without anion corrections ... -1.100 eV per atom
Total moment ... 0.0 μB per formula unit

=====

VASP calculation (PBE) on a relaxed Lu2ScTi crystal.

Cell lengths 3.2465, 3.2465, 11.3608 Å; angles 81.79, 81.79, 60.00 degrees
Closest atoms and distances in Å follow each position.
Positions (direct):
Sc  0.5000  0.5000  0.5000  6 Sc 3.25, 6 Lu 3.28
Lu  0.0865  0.0865  0.7406  1 Ti 2.91, 6 Lu 3.25
Lu  0.9135  0.9135  0.2594  1 Ti 2.91, 6 Lu 3.25
Ti  0.0000  0.0000  0.0000  2 Lu 2.91, 6 Ti 3.25

Properties
DFT formation energy ... 381 meV per atom
Total moment ... 1.7 μB per formula unit

=====

VASP calculation (PBE) on a relaxed TlRe4 crystal.

Cell lengths 6.3292, 6.3292, 6.3292 Å; angles 142.21, 142.21, 54.51 degrees
Closest atoms and distances in Å follow each position.
Positions (direct):
Tl  0.0000  0.0000  0.0000  16 Re 3.18-3.48
Re  0.7500  0.2500  0.5000  4 Re 2.54
Re  0.2500  0.7500  0.5000  4 Re 2.54
Re  0.6171  0.6171  0.0000  5 Re 2.54-2.64
Re  0.3829  0.3829  0.0000  5 Re 2.54-2.64

Properties
DFT formation energy ... 595 meV per atom
Total moment ... 0.0 μB per formula unit

=====

VASP calculation (PBE) on a relaxed Pm5Nd8Cd crystal.

Cell lengths 8.6139, 8.6136, 8.6139 Å; angles 110.07, 108.28, 110.07 degrees
Closest atoms and distances in Å follow each position.
Positions (direct):
Pm  0.0157  0.3042  0.1248  8 Nd 3.39-3.74, 2 Pm 3.59
Pm  0.8752  0.8909  0.1794  8 Nd 3.39-3.74, 2 Pm 3.59
Pm  0.8206  0.6958  0.7115  8 Nd 3.39-3.74, 2 Pm 3.59
Pm  0.5000  0.0000  0.5000  8 Nd 3.24-3.45
Pm  0.2885  0.1091  0.9843  8 Nd 3.39-3.74, 2 Pm 3.59
Nd  0.1679  0.7228  0.0609  1 Cd 3.15, 3 Pm 3.24-3.49
Nd  0.9391  0.1070  0.6618  1 Cd 3.15, 3 Pm 3.24-3.49
Nd  0.7471  0.2656  0.3490  5 Pm 3.45-3.74, 3 Nd 3.57-3.85, 1 Cd 3.82
Nd  0.6510  0.3980  0.9166  5 Pm 3.45-3.74, 3 Nd 3.57-3.85, 1 Cd 3.82
Nd  0.5185  0.6020  0.2529  5 Pm 3.45-3.74, 3 Nd 3.57-3.85, 1 Cd 3.82
Nd  0.5548  0.8930  0.8321  1 Cd 3.15, 3 Pm 3.24-3.49
Nd  0.3382  0.2772  0.4452  1 Cd 3.15, 3 Pm 3.24-3.49
Nd  0.0834  0.7344  0.4815  5 Pm 3.45-3.74, 3 Nd 3.57-3.85, 1 Cd 3.82
Cd  0.2500  0.5000  0.7500  4 Nd 3.15

Properties
DFT formation energy ... 188 meV per atom
Total moment ... 0.0 μB per formula unit

=====

VASP calculation (PBE) on a relaxed RbVGeBr6 crystal.

Cell lengths 7.0090, 7.0091, 7.6318 Å; angles 90.01, 89.99, 59.99 degrees
Closest atoms and distances in Å follow each position.
Positions (direct):
Rb  0.0000  0.0000  0.0000  6 Br 3.48
V  0.6666  0.6667  0.5000  6 Br 2.56-2.57
Ge  0.3333  0.3334  0.5000  6 Br 2.79
Br  0.9758  0.3807  0.3051  1 V 2.56, 1 Ge 2.79
Br  0.3807  0.9758  0.6949  1 V 2.57, 1 Ge 2.79
Br  0.6434  0.3810  0.6950  1 V 2.56, 1 Ge 2.79
Br  0.9756  0.6435  0.6949  1 V 2.56, 1 Ge 2.79
Br  0.3809  0.6434  0.3050  1 V 2.56, 1 Ge 2.79
Br  0.6435  0.9756  0.3051  1 V 2.56, 1 Ge 2.79

Properties
Formation energy without anion corrections ... -0.966 eV per atom
Total moment ... 2.0 μB per formula unit

=====

VASP calculation (PBE) on a relaxed ReAgSb2 crystal.

Cell lengths 3.4917, 3.4917, 7.4681 Å; angles 90.00, 90.00, 90.00 degrees
Closest atoms and distances in Å follow each position.
Positions (direct):
Re  0.5000  0.5000  0.7287  5 Sb 2.82-2.90, 4 Ag 2.92
Ag  0.0000  0.0000  0.5195  5 Sb 2.81-2.92, 4 Re 2.92
Sb  0.0000  0.0000  0.9109  4 Re 2.82, 1 Ag 2.92
Sb  0.5000  0.5000  0.3409  4 Ag 2.81, 1 Re 2.90

Properties
Formation energy without anion corrections ... 0.554 eV per atom
Total moment ... 0.0 μB per formula unit

=====

VASP calculation (PBE) on a relaxed Pm2NdSm5 crystal.

Cell lengths 5.1383, 7.2882, 14.5775 Å; angles 90.00, 90.00, 90.00 degrees
Closest atoms and distances in Å follow each position.
Positions (direct):
Pm  0.5000  0.2503  0.6252  10 Sm 3.63-3.65, 2 Nd 3.64
Pm  0.5000  0.7497  0.3748  10 Sm 3.63-3.65, 2 Nd 3.64
Pm  0.5000  0.2497  0.1252  10 Sm 3.63-3.65, 2 Nd 3.64
Pm  0.5000  0.7503  0.8748  10 Sm 3.63-3.65, 2 Nd 3.64
Nd  0.0000  0.0000  0.5000  4 Pm 3.64, 8 Sm 3.64-3.65
Nd  0.0000  0.5000  0.0000  4 Pm 3.64, 8 Sm 3.64-3.65
Sm  0.0000  0.0000  0.0000  6 Sm 3.64, 4 Pm 3.64, 2 Nd 3.64
Sm  0.0000  0.5000  0.5000  6 Sm 3.64, 4 Pm 3.64, 2 Nd 3.64
Sm  0.0000  0.5001  0.7495  7 Sm 3.63-3.64, 4 Pm 3.63-3.64, 1 Nd 3.65
Sm  0.0000  0.4999  0.2505  7 Sm 3.63-3.64, 4 Pm 3.63-3.64, 1 Nd 3.65
Sm  0.0000  0.9999  0.2495  7 Sm 3.63-3.64, 4 Pm 3.63-3.64, 1 Nd 3.65
Sm  0.0000  0.0001  0.7505  7 Sm 3.63-3.64, 4 Pm 3.63-3.64, 1 Nd 3.65
Sm  0.5000  0.2500  0.8745  6 Sm 3.63-3.64, 4 Pm 3.63-3.65, 2 Nd 3.64
Sm  0.5000  0.7500  0.1255  6 Sm 3.63-3.64, 4 Pm 3.63-3.65, 2 Nd 3.64
Sm  0.5000  0.2500  0.3745  6 Sm 3.63-3.64, 4 Pm 3.63-3.65, 2 Nd 3.64
Sm  0.5000  0.7500  0.6255  6 Sm 3.63-3.64, 4 Pm 3.63-3.65, 2 Nd 3.64

Properties
DFT formation energy ... 15 meV per atom
Total moment ... 0.0 μB per formula unit